Density functional theory data (PBE) for crystalline Pr2MgAu6 at its relaxed geometry.

For the formation energy, the calculation gives -0.63 eV per atom. Its crystal system is monoclinic.

The structure belongs to space group C2/m (No. 12); the cell edges are 11.130, 6.416 and 5.610 Å and the angles 90.00°, 90.04° and 90.00°. The distinct sites, in fractional coordinates, are Pr at (0.167, 0.000, 0.170), Mg at (0.000, 0.500, 0.000), Au at (0.091, 0.227, 0.685) and Au at (0.182, 0.500, 0.314).

=====

Density functional theory data (PBE) for crystalline Mg5Tl2CdIn at its relaxed geometry.

For the formation energy, the calculation gives 0.07 eV per atom. Its crystal system is tetragonal.

The structure belongs to space group I4/mcm (No. 140); the cell edges are 7.433, 7.433 and 16.730 Å and the angles 90.00°, 90.00° and 90.00°. The distinct sites, in fractional coordinates, are Mg at (0.000, 0.000, 0.000), Mg at (0.230, 0.270, 0.150), Tl at (0.139, 0.361, 0.500), Cd at (0.000, 0.000, 0.250) and In at (0.000, 0.500, 0.250).

=====

Density functional theory data (PBE) for crystalline BaSb2Os at its relaxed geometry.

The formation energy from raw total energies comes out at 558 meV per atom. Its crystal system is tetragonal.

The structure belongs to space group P4/mmm (No. 123); the cell edges are 4.682, 4.682 and 4.689 Å and the angles 90.00°, 90.00° and 90.00°. The distinct sites, in fractional coordinates, are Ba at (0.000, 0.000, 0.000), Sb at (0.000, 0.500, 0.500) and Os at (0.500, 0.500, 0.000).

=====

Density functional theory data (PBE) for crystalline Li2PuMg at its relaxed geometry.

The offset from the most stable computed form is 8 meV per atom. For the formation energy, the calculation gives 0.24 eV per atom. Its crystal system is tetragonal.

The structure belongs to space group P4/mmm (No. 123); the cell edges are 5.372, 5.372 and 3.094 Å and the angles 90.00°, 90.00° and 90.00°. The distinct sites, in fractional coordinates, are Li at (0.000, 0.500, 0.000), Pu at (0.000, 0.000, 0.500) and Mg at (0.500, 0.500, 0.500).

=====

Density functional theory data (PBE) for crystalline Zr2HSe4 at its relaxed geometry.

Its crystal system is monoclinic.

The structure belongs to space group C2/m (No. 12); the cell edges are 13.315, 7.717 and 7.396 Å and the angles 90.00°, 123.71° and 90.00°. The distinct sites, in fractional coordinates, are Zr at (0.000, 0.000, 0.000), Zr at (0.000, 0.000, 0.500), Zr at (0.250, 0.250, 0.000), H at (0.231, 0.500, 0.482), Se at (0.006, 0.254, 0.756), Se at (0.249, 0.000, 0.262) and Se at (0.249, 0.000, 0.736).

=====

Density functional theory data (PBE) for crystalline TaNbCdO6 at its relaxed geometry.

The formation energy from raw total energies comes out at -2343 meV per atom. Its crystal system is trigonal.

The structure belongs to space group P-31c (No. 163); the cell edges are 5.3309, 5.3309 and 9.7244 Å and the angles 90.00°, 90.00° and 120.00°. The distinct sites, in fractional coordinates, are Ta at (0.3333, 0.6667, 0.2500), Nb at (0.3333, 0.6667, 0.7500), Cd at (0.0000, 0.0000, 0.0000) and O at (0.0022, 0.3667, 0.1390).

=====

Density functional theory data (PBE) for crystalline IrIBr2 at its relaxed geometry.

The formation energy from raw total energies comes out at 1326 meV per atom. The offset from the most stable computed form is 1539 meV per atom. Its crystal system is cubic.

The structure belongs to space group Fm-3m (No. 225); the cell edges are 7.265, 7.265 and 7.265 Å and the angles 90.00°, 90.00° and 90.00°. The distinct sites, in fractional coordinates, are Ir at (0.000, 0.000, 0.000), I at (0.000, 0.000, 0.500) and Br at (0.250, 0.250, 0.250).

=====

We obtain calculated total energy values of -72.955 -62.831 -19.165 -18.814 -165.550 -147.340 -33.812 eV per cell for the records listed above, in that order.
We obtain spin magnetization values of 0.000 0.000 0.000 6.700 0.000 0.000 5.554 Bohr magnetons per cell for the records listed above, in that order.